Material: Ta2InAs
Method: DFT, PBE-GGA
State: relaxed

Cell lengths 3.1875, 3.1875, 25.8464 Å; angles 90.00, 90.00, 120.00 degrees
Closest atoms and distances in Å follow each position.
Space group R-3m (No. 166, hexagonal axes)
Asymmetric unit:
Ta 0.0000 0.0000 0.2400 x6  3 As 2.64
In 0.0000 0.0000 0.0000 x3  6 Ta 3.03, 6 In 3.19
As 0.0000 0.0000 0.5000 x3  6 Ta 2.64

Summary:
* energy above the lowest structure with this stoichiometry: 146 meV per atom
* DOS at the Fermi energy: 8.39 states/eV/cell
* energy relative to the elements: 0.12 eV/atom

***

Material: Dy2Er3
Method: DFT, PBE-GGA
State: relaxed

Cell lengths 14.6078, 24.0976, 3.5786 Å; angles 90.00, 90.00, 90.00 degrees
Closest atoms and distances in Å follow each position.
Space group Fdd2 (No. 43)
Asymmetric unit:
Dy 0.0672 0.2880 0.0000 x16  5 Er 3.17-3.45, 2 Dy 3.23
Er 0.0000 0.0000 0.3034 x8  4 Dy 3.24-3.45, 4 Er 3.56-3.58
Er 0.1084 0.1498 0.1032 x16  3 Dy 3.17-3.40

Summary:
* energy above the lowest structure with this stoichiometry: 191 meV per atom
* DOS at the Fermi energy: 59.25 states/eV/cell
* energy relative to the elements: 0.19 eV/atom

***

Material: Cs3HgAs
Method: DFT, PBE-GGA
State: relaxed

Cell lengths 11.2947, 6.9585, 14.1916 Å; angles 90.00, 96.49, 90.00 degrees
Closest atoms and distances in Å follow each position.
Space group P2_1/c (No. 14)
Asymmetric unit:
Cs 0.0191 0.1971 0.3418 x4  2 As 3.69-3.95, 3 Hg 3.92-4.04
Cs 0.2624 0.6736 0.9889 x4  2 As 3.72-3.83, 2 Hg 4.04-4.05, 1 Cs 4.16
Cs 0.4031 0.0850 0.7844 x4  3 As 3.68-3.82, 1 Hg 3.85
Hg 0.1675 0.1728 0.1054 x4  1 As 2.71
As 0.2745 0.5832 0.7317 x4  1 Hg 2.71

Summary:
* energy relative to the elements: -0.30 eV/atom

***

> Among the records above, which one has the lowest energy relative to the elements?

Cs3HgAs

***

> What is the formula in the first record?

Ta2InAs